No. 1
Density functional theory data (PBE) for NdPaSiAg after structural relaxation.

```
4
Lattice="-3.8040 3.1425 -1.3873 -4.5693 -0.3371 2.2974 -1.5491 3.7087 3.1806" Properties=species:S:1:pos:R:3 pbc="T T T"
Si -7.4418 4.8856 3.0680
Pa -4.9612 3.2571 2.0453
Nd 0.0000 0.0000 0.0000
Ag -2.4806 1.6285 1.0227
```

Uncorrected formation energy ... -0.22 eV per formula unit

***

No. 2
Density functional theory data (PBE) for NdPaAgSn after structural relaxation.

```
4
Lattice="-3.0784 4.2549 0.9679 -5.3121 -0.5260 0.1489 -2.5951 0.4161 4.6486" Properties=species:S:1:pos:R:3 pbc="T T T"
Ag 0.0000 0.0000 0.0000
Sn -5.4928 2.0725 2.8827
Pa -2.7464 1.0362 1.4413
Nd -8.2392 3.1087 4.3240
```

E_form ... -34 kJ/mol of formula units

***

No. 3
Density functional theory data (PBE) for Nd4Ag5Pb after structural relaxation.

```
10
Lattice="-2.6518 1.5908 2.2589 1.9499 -1.1406 3.0923 9.0555 15.2280 -0.0935" Properties=species:S:1:pos:R:3 pbc="T T T"
Ag 7.8285 13.9799 2.5912
Ag 6.0630 11.0110 2.6094
Ag 0.5251 1.6984 2.6666
Ag 4.1768 7.8392 2.6289
Ag 2.2906 4.6673 2.6483
Pb 0.0000 0.0000 0.0000
Nd 3.5760 6.0135 -0.0369
Nd 1.7217 2.8953 -0.0178
Nd 7.3338 12.3328 -0.0757
Nd 5.4795 9.2145 -0.0566
```

E_form ... -215 kJ/mol of formula units

***

No. 4
Density functional theory data (PBE) for Nd6Ag5Pb after structural relaxation.

```
12
Lattice="5.2109 0.0020 -1.0929 -0.0032 7.6577 -0.0007 -0.9723 0.0004 8.3825" Properties=species:S:1:pos:R:3 pbc="T T T"
Ag 3.1291 3.8303 2.0616
Ag 1.1063 3.8298 5.2273
Ag -0.0016 3.8288 -0.0003
Ag 1.1059 7.6585 5.2399
Ag 3.1296 0.0016 2.0490
Nd 3.6901 5.7186 4.6243
Nd 3.6917 1.9430 4.6246
Nd 1.6323 1.9766 7.8358
Nd 0.5437 5.7171 2.6643
Nd 2.6031 5.6836 -0.5469
Nd 0.5453 1.9415 2.6646
Pb 0.0000 0.0000 0.0000
```

E_form ... -346 kJ/mol of formula units

***

No. 5
Density functional theory data (PBE) for Nd8AgPb2 after structural relaxation.

```
11
Lattice="5.2642 0.0000 0.0000 0.0000 7.0129 0.1352 -2.6321 -2.7727 9.5923" Properties=species:S:1:pos:R:3 pbc="T T T"
Nd 2.6321 -0.8469 2.9304
Nd 0.0000 1.3995 7.9036
Nd 0.0000 1.0775 4.1292
Nd 2.6321 -1.1055 9.3403
Nd 2.6321 2.8407 1.8238
Nd 0.0000 5.0871 6.7970
Nd 2.6321 3.1626 5.5982
Nd 0.0000 5.3457 0.3871
Pb 0.0000 4.3133 3.5617
Pb 2.6321 -0.0731 6.1658
Ag 2.6321 0.0000 0.0000
```

E_form ... -239 kJ/mol of formula units

***

No. 6
Density functional theory data (PBE) for NdAg9Pb2 after structural relaxation.

```
12
Lattice="-5.0833 2.5068 -0.3905 -3.6576 -0.3036 4.3366 0.6591 8.5335 4.8747" Properties=species:S:1:pos:R:3 pbc="T T T"
Ag -6.0272 4.3108 2.6611
Ag -4.0409 5.3684 4.4104
Ag -3.4668 3.0481 2.8578
Ag -2.2581 9.2601 6.1865
Ag -4.6151 7.6886 5.9630
Ag -5.3091 2.8952 5.0421
Ag -5.8237 1.4766 2.6343
Ag -2.7728 7.8415 3.7787
Ag -2.0547 6.4260 6.1597
Pb -0.8760 5.1825 3.3454
Pb -7.2059 5.5542 5.4755
Nd 0.0000 0.0000 0.0000
```

E_form ... -52 kJ/mol of formula units